[1]
First-principles (PBE) data for NiRu3S after structural relaxation, as listed in Alexandria.

Cell and atoms, written as POSCAR:
```
NiRu3S
1.0
4.288 0.000 0.000
0.000 4.288 0.000
0.000 0.000 4.288
Ru S Ni
3 1 1
direct
0.000 0.500 0.000
0.000 0.000 0.500
0.500 0.000 0.000
0.000 0.000 0.000
0.500 0.500 0.500
```

Calculated values
The uncorrected formation energy comes out at 0.7034 eV/atom. The crystal system is cubic.

***

[2]
First-principles (PBE) data for LiHf2H after structural relaxation, as listed in Alexandria.

Cell and atoms, written as POSCAR:
```
LiHf2H
1.0
-1.241 1.206 -2.511
-2.832 1.129 0.090
1.785 8.494 1.346
H Hf Li
1 2 1
direct
0.500 0.500 0.500
0.114 0.114 0.659
0.886 0.886 0.341
0.000 0.000 0.000
```

Calculated values
Its calculated total energy is -6.138 eV per atom. The crystal system is trigonal.

***

[3]
First-principles (PBE) data for KMg2ZnAg after structural relaxation, as listed in Alexandria.

Cell and atoms, written as POSCAR:
```
KMg2ZnAg
1.0
-3.941 2.120 2.585
-2.177 -4.672 0.513
2.542 -0.696 4.446
Mg Zn K Ag
2 1 1 1
direct
0.000 0.000 0.500
0.500 0.000 0.000
0.000 0.000 0.000
0.500 0.500 0.500
0.000 0.500 0.000
```

Calculated values
As for the energy of formation from the pure elements: 12.6 kJ per mole of atoms. The crystal system is tetragonal.

***

[4]
First-principles (PBE) data for Sc3TlCd2 after structural relaxation, as listed in Alexandria.

Cell and atoms, written as POSCAR:
```
Sc3TlCd2
1.0
-3.466 -2.898 2.199
3.850 -2.105 -2.447
3.311 -0.005 5.214
Sc Tl Cd
3 1 2
direct
0.000 0.000 0.500
0.667 0.333 0.836
0.333 0.667 0.164
0.000 0.000 0.000
0.667 0.333 0.350
0.333 0.667 0.650
```

Calculated values
As for the energy of formation from the pure elements: -28.5 kJ per mole of atoms. The crystal system is trigonal.

***

[5]
First-principles (PBE) data for NpPaPN2 after structural relaxation, as listed in Alexandria.

Cell and atoms, written as POSCAR:
```
NpPaPN2
1.0
-0.005 -3.339 -1.746
2.977 1.066 -2.048
2.101 -1.010 5.993
Np Pa P N
1 1 1 2
direct
0.853 0.853 0.706
0.145 0.145 0.290
0.503 0.503 0.005
0.750 0.250 0.500
0.250 0.750 0.500
```

Calculated values
The uncorrected formation energy comes out at -1.2864 eV/atom. The crystal system is tetragonal.

***

[6]
First-principles (PBE) data for Cd3GeN after structural relaxation, as listed in Alexandria.

Cell and atoms, written as POSCAR:
```
Cd3GeN
1.0
-4.563 1.367 -2.255
1.799 -1.682 -4.660
-1.929 -4.804 0.990
Ge N Cd
1 1 3
direct
0.000 0.000 0.000
0.500 0.500 0.500
0.000 0.500 0.000
0.000 0.000 0.500
0.500 0.000 0.000
```

Calculated values
The uncorrected formation energy comes out at 1.2141 eV/atom. The crystal system is cubic.

***

[7]
First-principles (PBE) data for CaYMg6 after structural relaxation, as listed in Alexandria.

Cell and atoms, written as POSCAR:
```
CaYMg6
1.0
6.697 -0.004 0.000
-3.082 5.945 0.000
0.000 0.000 5.231
Ca Y Mg
1 1 6
direct
0.904 0.096 0.000
0.595 0.405 0.500
0.928 0.603 0.000
0.397 0.072 0.000
0.417 0.583 0.000
0.564 0.893 0.500
0.107 0.436 0.500
0.088 0.912 0.500
```

Calculated values
As for the energy of formation from the pure elements: -6.2 kJ per mole of atoms. The crystal system is orthorhombic.

***

[8]
First-principles (PBE) data for K3FeSe4 after structural relaxation, as listed in Alexandria.

Cell and atoms, written as POSCAR:
```
K3FeSe4
1.0
5.245 0.000 -2.014
-1.113 6.141 -2.899
0.150 0.056 8.229
K Fe Se
3 1 4
direct
0.711 0.028 0.422
0.000 0.186 0.000
0.289 0.605 0.578
0.500 0.473 0.000
0.356 0.153 0.712
0.644 0.441 0.288
0.779 0.732 0.000
0.221 0.732 0.000
```

Calculated values
The uncorrected formation energy comes out at -0.7498 eV/atom. The crystal system is orthorhombic.